[1]
{
  "formula": "Li2ZnFe",
  "functional": "PBE",
  "state": "relaxed",
  "total_energy_ev_per_atom": -3.240,
  "formation_enthalpy_0k_ev_per_atom": 0.15,
  "cell": [[3.5985, 0.0000, 0.0000], [0.0000, 3.5985, 0.0000], [0.0000, 0.0000, 4.2261]],
  "species": ["Li", "Li", "Zn", "Fe"],
  "frac_coords": [[0.0000, 0.5000, 0.0000], [0.5000, 0.0000, 0.0000], [0.0000, 0.0000, 0.5000], [0.5000, 0.5000, 0.5000]]
}

---

[2]
{
  "formula": "LiZnFe2",
  "functional": "PBE",
  "state": "relaxed",
  "total_energy_ev_per_atom": -4.968,
  "formation_enthalpy_0k_ev_per_atom": 0.06,
  "cell": [[2.9078, 0.0000, 0.0000], [0.0000, 4.1133, 0.0000], [0.0000, 0.0000, 8.5850]],
  "species": ["Li", "Li", "Zn", "Zn", "Fe", "Fe", "Fe", "Fe"],
  "frac_coords": [[0.0000, 0.0000, 0.0000], [0.5000, 0.5000, 0.0000], [0.0000, 0.5000, 0.7366], [0.5000, 0.0000, 0.7366], [0.0000, 0.0000, 0.4865], [0.0000, 0.5000, 0.2574], [0.5000, 0.0000, 0.2574], [0.5000, 0.5000, 0.4865]]
}

---

[3]
{
  "formula": "Li2ZnFe2",
  "functional": "PBE",
  "state": "relaxed",
  "total_energy_ev_per_atom": -3.958,
  "formation_enthalpy_0k_ev_per_atom": 0.45,
  "cell": [[3.1094, 0.0000, 0.0000], [0.0000, 3.1094, 0.0000], [0.0000, 0.0000, 14.6436]],
  "species": ["Li", "Li", "Li", "Li", "Zn", "Zn", "Fe", "Fe", "Fe", "Fe"],
  "frac_coords": [[0.0000, 0.0000, 0.1046], [0.0000, 0.0000, 0.8954], [0.5000, 0.5000, 0.3954], [0.5000, 0.5000, 0.6046], [0.0000, 0.0000, 0.5000], [0.5000, 0.5000, 0.0000], [0.0000, 0.5000, 0.2500], [0.0000, 0.5000, 0.7500], [0.5000, 0.0000, 0.2500], [0.5000, 0.0000, 0.7500]]
}

---

[4]
{
  "formula": "LiZn2Fe",
  "functional": "PBE",
  "state": "relaxed",
  "total_energy_ev_per_atom": -3.142,
  "formation_enthalpy_0k_ev_per_atom": 0.09,
  "cell": [[3.7495, 0.0000, 0.0000], [0.0000, 3.7495, 0.0000], [0.0000, 0.0000, 7.5780]],
  "species": ["Li", "Li", "Zn", "Zn", "Zn", "Zn", "Fe", "Fe"],
  "frac_coords": [[0.0000, 0.0000, 0.0000], [0.5000, 0.5000, 0.5000], [0.0000, 0.0000, 0.5000], [0.0000, 0.5000, 0.7500], [0.5000, 0.0000, 0.2500], [0.5000, 0.5000, 0.0000], [0.0000, 0.5000, 0.2500], [0.5000, 0.0000, 0.7500]]
}

---

[5]
{
  "formula": "LiZnFe2",
  "functional": "PBE",
  "state": "relaxed",
  "total_energy_ev_per_atom": -4.874,
  "formation_enthalpy_0k_ev_per_atom": 0.15,
  "cell": [[2.5212, 0.0000, 0.0000], [0.0000, 3.5596, 0.0000], [0.0000, 0.0000, 5.3733]],
  "species": ["Li", "Zn", "Fe", "Fe"],
  "frac_coords": [[0.0000, 0.0000, 0.0000], [0.5000, 0.5000, 0.2435], [0.0000, 0.0000, 0.5248], [0.5000, 0.5000, 0.7198]]
}

---

[6]
{
  "formula": "LiZnFe2",
  "functional": "PBE",
  "state": "relaxed",
  "total_energy_ev_per_atom": -4.918,
  "formation_enthalpy_0k_ev_per_atom": 0.11,
  "cell": [[3.5094, 0.0000, 0.0000], [0.0000, 3.5094, 0.0000], [0.0000, 0.0000, 7.9221]],
  "species": ["Li", "Li", "Zn", "Zn", "Fe", "Fe", "Fe", "Fe"],
  "frac_coords": [[0.0000, 0.0000, 0.0000], [0.5000, 0.5000, 0.5000], [0.0000, 0.0000, 0.5000], [0.5000, 0.5000, 0.0000], [0.0000, 0.5000, 0.2500], [0.0000, 0.5000, 0.7500], [0.5000, 0.0000, 0.2500], [0.5000, 0.0000, 0.7500]]
}

---

[7]
{
  "formula": "LiZr2Fe",
  "functional": "PBE",
  "state": "relaxed",
  "total_energy_ev_per_atom": -6.692,
  "formation_enthalpy_0k_ev_per_atom": 0.18,
  "cell": [[3.3168, 0.0000, 0.0000], [0.0000, 3.3168, 0.0000], [0.0000, 0.0000, 6.5239]],
  "species": ["Li", "Zr", "Zr", "Fe"],
  "frac_coords": [[0.0000, 0.0000, 0.0000], [0.0000, 0.0000, 0.5811], [0.5000, 0.5000, 0.2721], [0.5000, 0.5000, 0.7963]]
}

---

[8]
{
  "formula": "LiZr2Fe",
  "functional": "PBE",
  "state": "relaxed",
  "total_energy_ev_per_atom": -6.603,
  "formation_enthalpy_0k_ev_per_atom": 0.27,
  "cell": [[3.5156, 0.0000, 0.0000], [0.0000, 4.7485, 0.0000], [0.0000, 0.0000, 9.1037]],
  "species": ["Li", "Li", "Zr", "Zr", "Zr", "Zr", "Fe", "Fe"],
  "frac_coords": [[0.0000, 0.0000, 0.0000], [0.5000, 0.5000, 0.0000], [0.0000, 0.0000, 0.5730], [0.0000, 0.5000, 0.2892], [0.5000, 0.0000, 0.2892], [0.5000, 0.5000, 0.5730], [0.0000, 0.5000, 0.7878], [0.5000, 0.0000, 0.7878]]
}

---

[9]
{
  "formula": "LiZrFe",
  "functional": "PBE",
  "state": "relaxed",
  "total_energy_ev_per_atom": -5.999,
  "formation_enthalpy_0k_ev_per_atom": 0.31,
  "cell": [[2.8595, 0.0000, 0.0000], [0.0000, 2.8595, 0.0000], [0.0000, 0.0000, 12.7080]],
  "species": ["Li", "Li", "Zr", "Zr", "Fe", "Fe"],
  "frac_coords": [[0.0000, 0.0000, 0.0000], [0.5000, 0.5000, 0.5000], [0.0000, 0.0000, 0.2974], [0.5000, 0.5000, 0.7974], [0.0000, 0.0000, 0.6436], [0.5000, 0.5000, 0.1436]]
}

---

[10]
{
  "formula": "LiZr3Fe",
  "functional": "PBE",
  "state": "relaxed",
  "total_energy_ev_per_atom": -6.872,
  "formation_enthalpy_0k_ev_per_atom": 0.33,
  "cell": [[4.8719, 0.0000, 0.0000], [0.0000, 4.8719, 0.0000], [0.0000, 0.0000, 4.8719]],
  "species": ["Li", "Zr", "Zr", "Zr", "Fe"],
  "frac_coords": [[0.0000, 0.0000, 0.0000], [0.0000, 0.5000, 0.5000], [0.5000, 0.0000, 0.5000], [0.5000, 0.5000, 0.0000], [0.5000, 0.5000, 0.5000]]
}

---

[11]
{
  "formula": "LiZr2Fe",
  "functional": "PBE",
  "state": "relaxed",
  "total_energy_ev_per_atom": -6.734,
  "formation_enthalpy_0k_ev_per_atom": 0.13,
  "cell": [[3.1973, 0.0000, 0.0000], [0.0000, 4.5083, 0.0000], [0.0000, 0.0000, 9.8876]],
  "species": ["Li", "Li", "Zr", "Zr", "Zr", "Zr", "Fe", "Fe"],
  "frac_coords": [[0.0000, 0.0000, 0.0000], [0.5000, 0.5000, 0.5000], [0.0000, 0.0000, 0.5818], [0.0000, 0.5000, 0.7961], [0.5000, 0.0000, 0.2961], [0.5000, 0.5000, 0.0818], [0.0000, 0.5000, 0.2832], [0.5000, 0.0000, 0.7832]]
}

---

[12]
{
  "formula": "LiZr2Fe",
  "functional": "PBE",
  "state": "relaxed",
  "total_energy_ev_per_atom": -6.672,
  "formation_enthalpy_0k_ev_per_atom": 0.20,
  "cell": [[6.7951, 0.0000, 0.0000], [0.0000, 3.0411, 0.0000], [-0.6428, 0.0000, 7.8211]],
  "species": ["Li", "Li", "Zr", "Zr", "Zr", "Zr", "Fe", "Fe"],
  "frac_coords": [[0.0000, 0.0000, 0.0000], [0.5000, 0.5000, 0.0000], [0.2354, 0.0000, 0.6908], [0.2646, 0.5000, 0.3092], [0.7354, 0.5000, 0.6908], [0.7646, 0.0000, 0.3092], [0.0000, 0.5000, 0.5000], [0.5000, 0.0000, 0.5000]]
}

---

[13]
{
  "formula": "LiZrFe",
  "functional": "PBE",
  "state": "relaxed",
  "total_energy_ev_per_atom": -6.102,
  "formation_enthalpy_0k_ev_per_atom": 0.21,
  "cell": [[3.3010, 0.0000, 0.0000], [0.0000, 3.3010, 0.0000], [0.0000, 0.0000, 8.7715]],
  "species": ["Li", "Li", "Zr", "Zr", "Fe", "Fe"],
  "frac_coords": [[0.0000, 0.0000, 0.0000], [0.5000, 0.5000, 0.5000], [0.0000, 0.0000, 0.6959], [0.5000, 0.5000, 0.1959], [0.0000, 0.0000, 0.3458], [0.5000, 0.5000, 0.8458]]
}

---

[14]
{
  "formula": "Li4ZrFe",
  "functional": "PBE",
  "state": "relaxed",
  "total_energy_ev_per_atom": -3.720,
  "formation_enthalpy_0k_ev_per_atom": 0.39,
  "cell": [[0.0000, 3.5980, 3.5980], [3.5980, 0.0000, 3.5980], [3.5980, 3.5980, 0.0000]],
  "species": ["Li", "Li", "Li", "Li", "Zr", "Fe"],
  "frac_coords": [[0.3770, 0.3770, 0.3770], [0.3770, 0.3770, 0.8690], [0.3770, 0.8690, 0.3770], [0.8690, 0.3770, 0.3770], [0.0000, 0.0000, 0.0000], [0.7500, 0.7500, 0.7500]]
}

---

[15]
{
  "formula": "LiZrFe",
  "functional": "PBE",
  "state": "relaxed",
  "total_energy_ev_per_atom": -5.388,
  "formation_enthalpy_0k_ev_per_atom": 0.92,
  "cell": [[6.0884, 0.0000, 0.0000], [0.0000, 6.0884, 0.0000], [0.0000, 0.0000, 6.0884]],
  "species": ["Li", "Li", "Li", "Li", "Zr", "Zr", "Zr", "Zr", "Fe", "Fe", "Fe", "Fe"],
  "frac_coords": [[0.0000, 0.0000, 0.0000], [0.0000, 0.5000, 0.5000], [0.5000, 0.0000, 0.5000], [0.5000, 0.5000, 0.0000], [0.2500, 0.2500, 0.2500], [0.2500, 0.7500, 0.7500], [0.7500, 0.2500, 0.7500], [0.7500, 0.7500, 0.2500], [0.0000, 0.0000, 0.5000], [0.0000, 0.5000, 0.0000], [0.5000, 0.0000, 0.0000], [0.5000, 0.5000, 0.5000]]
}